[1]
Entry from Alexandria via LeMat-Bulk: a relaxed structure of Er6Mn4Al43 (PBE).

Results
Energy of formation from the pure elements in meV/atom: -271
VASP energy in eV per atom: -4.52

Cell lengths 10.874, 10.874, 17.501 Å; angles 90.00, 90.00, 120.00 degrees
Each line ends with the local moment (μB).
Fractional coordinates of all 106 atoms:
Er (0.531, 0.000, 0.595)  0.01
Er (0.469, 0.000, 0.405)  0.01
Er (0.000, 0.531, 0.595)  0.01
Er (0.469, 0.000, 0.095)  0.01
Er (0.000, 0.531, 0.905)  0.01
Er (0.000, 0.469, 0.405)  0.01
Er (0.531, 0.000, 0.905)  0.01
Er (0.000, 0.469, 0.095)  0.01
Er (0.469, 0.469, 0.595)  0.01
Er (0.531, 0.531, 0.405)  0.01
Er (0.531, 0.531, 0.095)  0.01
Er (0.469, 0.469, 0.905)  0.01
Mn (0.000, 0.000, 0.500)  1.62
Mn (0.000, 0.000, 0.000)  1.62
Mn (0.733, 0.000, 0.750)  1.45
Mn (0.267, 0.000, 0.250)  1.45
Mn (0.000, 0.733, 0.750)  1.45
Mn (0.000, 0.267, 0.250)  1.45
Mn (0.267, 0.267, 0.750)  1.45
Mn (0.733, 0.733, 0.250)  1.45
Al (0.145, 0.598, 0.750)  0.00
Al (0.855, 0.402, 0.250)  0.00
Al (0.402, 0.546, 0.750)  0.00
Al (0.598, 0.145, 0.750)  0.00
Al (0.598, 0.454, 0.250)  0.00
Al (0.402, 0.855, 0.250)  0.00
Al (0.454, 0.855, 0.750)  0.00
Al (0.546, 0.402, 0.750)  0.00
Al (0.546, 0.145, 0.250)  0.00
Al (0.454, 0.598, 0.250)  0.00
Al (0.855, 0.454, 0.750)  0.00
Al (0.145, 0.546, 0.250)  0.00
Al (0.154, 0.000, 0.116)  -0.01
Al (0.846, 0.000, 0.884)  -0.01
Al (0.000, 0.154, 0.116)  -0.01
Al (0.846, 0.000, 0.616)  -0.01
Al (0.000, 0.154, 0.384)  -0.01
Al (0.000, 0.846, 0.884)  -0.01
Al (0.154, 0.000, 0.384)  -0.01
Al (0.000, 0.846, 0.616)  -0.01
Al (0.846, 0.846, 0.116)  -0.01
Al (0.154, 0.154, 0.884)  -0.01
Al (0.154, 0.154, 0.616)  -0.01
Al (0.846, 0.846, 0.384)  -0.01
Al (0.246, 0.492, 0.500)  0.00
Al (0.754, 0.508, 0.500)  0.00
Al (0.508, 0.754, 0.500)  0.00
Al (0.754, 0.508, 0.000)  0.00
Al (0.492, 0.246, 0.000)  0.00
Al (0.492, 0.246, 0.500)  0.00
Al (0.246, 0.492, 0.000)  0.00
Al (0.508, 0.754, 0.000)  0.00
Al (0.246, 0.754, 0.500)  0.00
Al (0.754, 0.246, 0.500)  0.00
Al (0.754, 0.246, 0.000)  0.00
Al (0.246, 0.754, 0.000)  0.00
Al (0.145, 0.000, 0.750)  -0.01
Al (0.855, 0.000, 0.250)  -0.01
Al (0.000, 0.145, 0.750)  -0.01
Al (0.000, 0.855, 0.250)  -0.01
Al (0.855, 0.855, 0.750)  -0.01
Al (0.145, 0.145, 0.250)  -0.01
Al (0.333, 0.667, 0.627)  0.00
Al (0.667, 0.333, 0.373)  0.00
Al (0.667, 0.333, 0.127)  0.00
Al (0.667, 0.333, 0.873)  0.00
Al (0.333, 0.667, 0.873)  0.00
Al (0.333, 0.667, 0.127)  0.00
Al (0.333, 0.667, 0.373)  0.00
Al (0.667, 0.333, 0.627)  0.00
Al (0.250, 0.000, 0.530)  -0.01
Al (0.750, 0.000, 0.470)  -0.01
Al (0.000, 0.250, 0.530)  -0.01
Al (0.750, 0.000, 0.030)  -0.01
Al (0.000, 0.250, 0.970)  -0.01
Al (0.000, 0.750, 0.470)  -0.01
Al (0.250, 0.000, 0.970)  -0.01
Al (0.000, 0.750, 0.030)  -0.01
Al (0.750, 0.750, 0.530)  -0.01
Al (0.250, 0.250, 0.470)  -0.01
Al (0.250, 0.250, 0.030)  -0.01
Al (0.750, 0.750, 0.970)  -0.01
Al (0.158, 0.391, 0.665)  -0.01
Al (0.842, 0.609, 0.335)  -0.01
Al (0.609, 0.767, 0.665)  -0.01
Al (0.842, 0.609, 0.165)  -0.01
Al (0.391, 0.158, 0.835)  -0.01
Al (0.391, 0.233, 0.335)  -0.01
Al (0.158, 0.391, 0.835)  -0.01
Al (0.609, 0.842, 0.165)  -0.01
Al (0.233, 0.842, 0.665)  -0.01
Al (0.391, 0.233, 0.165)  -0.01
Al (0.767, 0.609, 0.835)  -0.01
Al (0.767, 0.158, 0.335)  -0.01
Al (0.609, 0.767, 0.835)  -0.01
Al (0.233, 0.391, 0.165)  -0.01
Al (0.609, 0.842, 0.335)  -0.01
Al (0.391, 0.158, 0.665)  -0.01
Al (0.767, 0.158, 0.165)  -0.01
Al (0.233, 0.391, 0.335)  -0.01
Al (0.233, 0.842, 0.835)  -0.01
Al (0.767, 0.609, 0.665)  -0.01
Al (0.842, 0.233, 0.835)  -0.01
Al (0.158, 0.767, 0.165)  -0.01
Al (0.158, 0.767, 0.335)  -0.01
Al (0.842, 0.233, 0.665)  -0.01

---

[2]
Entry from Alexandria via LeMat-Bulk: a relaxed structure of Pr2Ho6Er5 (PBE).

Results
Energy of formation from the pure elements in meV/atom: 102
VASP energy in eV per atom: -4.50

Cell lengths 3.569, 11.667, 20.100 Å; angles 90.00, 90.00, 90.00 degrees
Fractional coordinates of all 26 atoms:
Pr (0.000, 0.334, 0.283)
Pr (0.000, 0.666, 0.717)
Pr (0.000, 0.834, 0.217)
Pr (0.000, 0.166, 0.783)
Ho (0.000, 0.079, 0.365)
Ho (0.000, 0.921, 0.635)
Ho (0.000, 0.579, 0.135)
Ho (0.000, 0.421, 0.865)
Ho (0.500, 0.321, 0.125)
Ho (0.500, 0.679, 0.875)
Ho (0.500, 0.821, 0.375)
Ho (0.500, 0.179, 0.625)
Ho (0.000, 0.559, 0.423)
Ho (0.000, 0.441, 0.577)
Ho (0.000, 0.059, 0.077)
Ho (0.000, 0.941, 0.923)
Er (0.500, 0.300, 0.449)
Er (0.500, 0.700, 0.551)
Er (0.500, 0.800, 0.051)
Er (0.500, 0.200, 0.949)
Er (0.500, 0.595, 0.279)
Er (0.500, 0.405, 0.721)
Er (0.500, 0.095, 0.221)
Er (0.500, 0.905, 0.779)
Er (0.500, 0.500, 0.000)
Er (0.500, 0.000, 0.500)

---

[3]
Entry from Alexandria via LeMat-Bulk: a relaxed structure of TmCo2GeC (PBE).

Results
Energy of formation from the pure elements in meV/atom: -493
VASP energy in eV per atom: -7.00

Cell lengths 3.703, 5.637, 6.824 Å; angles 90.00, 90.00, 109.17 degrees
Fractional coordinates of all 10 atoms:
Tm (0.452, 0.905, 0.750)
Tm (0.548, 0.095, 0.250)
Co (0.160, 0.320, 0.945)
Co (0.840, 0.680, 0.055)
Co (0.160, 0.320, 0.555)
Co (0.840, 0.680, 0.445)
Ge (0.731, 0.461, 0.750)
Ge (0.269, 0.539, 0.250)
C (0.000, 0.000, 0.000)
C (0.000, 0.000, 0.500)

---

[4]
Entry from Alexandria via LeMat-Bulk: a relaxed structure of Ca5Tl2Sn (PBE).

Results
Energy of formation from the pure elements in meV/atom: -428
VASP energy in eV per atom: -2.77

Cell lengths 8.393, 8.393, 9.453 Å; angles 116.35, 116.35, 90.00 degrees
Fractional coordinates of all 16 atoms:
Ca (0.524, 0.683, 0.706)
Ca (0.817, 0.976, 0.294)
Ca (0.000, 0.000, 0.000)
Ca (0.500, 0.500, 0.000)
Ca (0.183, 0.024, 0.706)
Ca (0.683, 0.183, 0.706)
Ca (0.024, 0.524, 0.706)
Ca (0.317, 0.817, 0.294)
Ca (0.976, 0.476, 0.294)
Ca (0.476, 0.317, 0.294)
Tl (0.127, 0.373, 0.000)
Tl (0.627, 0.127, 0.000)
Tl (0.373, 0.873, 0.000)
Tl (0.873, 0.627, 0.000)
Sn (0.750, 0.750, 0.500)
Sn (0.250, 0.250, 0.500)

---

[5]
Entry from Alexandria via LeMat-Bulk: a relaxed structure of Rb2LiWI6 (PBE).

Results
VASP energy in eV per atom: -3.35
Formation energy without anion corrections in meV/atom: -742

Cell lengths 8.236, 8.236, 8.236 Å; angles 60.00, 60.00, 90.00 degrees
Each line ends with the local moment (μB).
Fractional coordinates of all 10 atoms:
I (0.241, 0.241, 0.517)  0.01
I (0.759, 0.759, 0.483)  0.01
I (0.241, 0.241, 0.000)  0.01
I (0.759, 0.759, 0.000)  0.01
I (0.759, 0.241, 0.000)  0.01
I (0.241, 0.759, 0.000)  0.01
Rb (0.750, 0.250, 0.500)  0.00
Rb (0.250, 0.750, 0.500)  0.00
W (0.000, 0.000, 0.000)  2.17
Li (0.500, 0.500, 0.000)  0.00

---

[6]
Entry from Alexandria via LeMat-Bulk: a relaxed structure of BaAs3Au (PBE).

Results
Energy of formation from the pure elements in meV/atom: 1415
Polymorph energy (0 for the lowest one) in meV per atom: 1857.4
VASP energy in eV per atom: -2.41

Cell lengths 5.828, 5.828, 5.828 Å; angles 90.00, 90.00, 90.00 degrees
Fractional coordinates of all 5 atoms:
As (0.000, 0.500, 0.000)
As (0.000, 0.000, 0.500)
As (0.500, 0.000, 0.000)
Au (0.500, 0.500, 0.500)
Ba (0.000, 0.000, 0.000)